This record from Alexandria via LeMat-Bulk describes ZnNiIr2 after structural relaxation. The functional is PBE-GGA.

extended XYZ file:
```
4
Lattice="-3.506 -0.859 -2.168 0.525 -4.105 0.777 -1.622 0.269 2.517" Properties=species:S:1:pos:R:3 pbc="T T T"
Ir 0.000 0.000 0.000
Ir -1.490 -2.482 -0.695
Ni -2.564 -0.295 0.175
Zn -0.549 -1.918 1.647
```

**Space-group type**: P4/mmm, No. 123
**E_form**: 0.007 eV per atom

This record from Alexandria via LeMat-Bulk describes PmY3Tm after structural relaxation. The functional is PBE-GGA.

extended XYZ file:
```
10
Lattice="-0.593 5.176 -2.250 1.350 -2.327 -5.708 -9.531 -0.475 1.420" Properties=species:S:1:pos:R:3 pbc="T T T"
Pm -2.768 -0.911 -4.943
Pm -6.006 3.285 -1.594
Y -3.522 2.449 -4.173
Y -5.253 -0.075 -2.365
Y 0.000 3.110 -3.580
Y -7.707 0.764 0.210
Y -8.775 -0.736 -2.958
Y -1.067 1.610 -6.748
Tm -1.680 0.576 -1.809
Tm -7.095 1.797 -4.729
```

**Space-group type**: P2_1/m, No. 11
**E_form**: 0.008 eV per atom

This record from Alexandria via LeMat-Bulk describes AlGaCu2 after structural relaxation. The functional is PBE-GGA.

extended XYZ file:
```
16
Lattice="-3.650 0.502 -2.792 1.380 -3.627 -2.456 -5.635 -6.357 6.225" Properties=species:S:1:pos:R:3 pbc="T T T"
Al -3.316 -2.588 1.957
Al -4.589 -6.894 -0.980
Al -0.636 -2.153 -1.469
Al -7.269 -7.329 2.446
Ga -3.455 -5.337 1.644
Ga -4.450 -4.145 -0.667
Ga -4.753 -9.388 2.613
Ga -3.152 -0.094 -1.636
Cu -7.313 -4.786 2.961
Cu -0.592 -4.696 -1.983
Cu -5.925 -5.810 0.961
Cu -1.980 -3.672 0.016
Cu -3.066 -2.587 -2.198
Cu -4.840 -6.895 3.175
Cu -3.157 -5.279 -2.561
Cu -4.748 -4.203 3.539
```

**Space-group type**: Imma, No. 74
**E_form**: -0.092 eV per atom

This record from Alexandria via LeMat-Bulk describes TmTi2Al after structural relaxation. The functional is PBE-GGA.

extended XYZ file:
```
4
Lattice="3.019 0.000 0.000 0.000 3.019 0.000 0.000 0.000 8.555" Properties=species:S:1:pos:R:3 pbc="T T T"
Tm 1.510 1.510 4.278
Al 1.510 1.510 0.000
Ti 0.000 0.000 6.702
Ti 0.000 0.000 1.853
```

**Space-group type**: P4/mmm, No. 123
**E_form**: -0.020 eV per atom
**Offset from the most stable computed form**: 70.5 meV/atom

This record from Alexandria via LeMat-Bulk describes Ac2PmTlN after structural relaxation. The functional is PBE-GGA.

extended XYZ file:
```
5
Lattice="5.066 0.000 0.000 0.000 5.346 0.000 0.000 0.000 5.346" Properties=species:S:1:pos:R:3 pbc="T T T"
Ac 0.000 0.000 2.673
Ac 0.000 2.673 0.000
Pm 2.533 0.000 0.000
Tl 2.533 2.673 2.673
N 0.000 0.000 0.000
```

**Uncorrected formation energy**: -0.682 eV per atom
**Space-group type**: P4/mmm, No. 123

This record from Alexandria via LeMat-Bulk describes Ca2TcSe2 after structural relaxation. The functional is PBE-GGA.

extended XYZ file:
```
5
Lattice="-2.526 2.526 6.273 2.526 -2.526 6.273 2.526 2.526 -6.273" Properties=species:S:1:pos:R:3 pbc="T T T"
Ca 2.526 0.000 3.136
Ca 0.000 2.526 3.136
Tc 0.000 0.000 0.000
Se 0.000 0.000 8.048
Se 0.000 0.000 4.497
```

**Uncorrected formation energy**: -0.134 eV per atom
**Space-group type**: I4/mmm, No. 139

This record from Alexandria via LeMat-Bulk describes CoW2Cl after structural relaxation. The functional is PBE-GGA.

extended XYZ file:
```
4
Lattice="-2.799 1.026 -3.347 -2.862 -3.138 1.431 -1.239 1.863 1.607" Properties=species:S:1:pos:R:3 pbc="T T T"
Co -2.050 -0.638 1.519
W 0.000 0.000 0.000
W -2.830 -1.056 -0.958
Cl -2.019 1.444 -0.870
```

**Uncorrected formation energy**: 0.793 eV per atom
**Space-group type**: P4/mmm, No. 123
**Offset from the most stable computed form**: 418.0 meV/atom

This record from Alexandria via LeMat-Bulk describes Sc3Te4 after structural relaxation. The functional is PBE-GGA.

extended XYZ file:
```
7
Lattice="4.122 0.000 0.000 0.000 7.238 -0.151 -2.061 -3.452 6.859" Properties=species:S:1:pos:R:3 pbc="T T T"
Sc 0.000 0.000 0.000
Sc 0.000 0.227 3.432
Sc 2.061 3.559 3.277
Te 0.000 2.461 1.557
Te 2.061 1.324 5.152
Te 0.000 -2.279 5.092
Te 2.061 6.065 1.616
```

**Uncorrected formation energy**: -1.243 eV per atom
**Space-group type**: C2/m, No. 12
**Offset from the most stable computed form**: 0.0 meV/atom

This record from Alexandria via LeMat-Bulk describes La3GeOs after structural relaxation. The functional is PBE-GGA.

extended XYZ file:
```
20
Lattice="7.277 0.000 0.000 0.000 7.556 -2.284 0.000 0.316 10.328" Properties=species:S:1:pos:R:3 pbc="T T T"
La 2.325 1.131 2.136
La 4.952 6.741 5.908
La 5.964 2.805 1.886
La 1.314 5.067 6.158
La 7.188 6.009 -1.116
La 0.089 1.863 9.160
La 3.550 5.483 2.854
La 3.728 2.389 5.190
La 3.762 5.536 -1.039
La 3.516 2.336 9.084
La 0.123 5.956 2.778
La 7.154 1.916 5.267
Ge 5.242 7.634 0.969
Ge 2.035 0.238 7.075
Ge 1.604 3.858 0.769
Ge 5.674 4.014 7.275
Os 2.163 7.416 7.503
Os 5.115 0.456 0.541
Os 5.801 4.392 4.563
Os 1.476 3.480 3.481
```

**Space-group type**: P2_1/c, No. 14
**E_form**: -0.422 eV per atom
**Offset from the most stable computed form**: 0.0 meV/atom

This record from Alexandria via LeMat-Bulk describes KTl3V after structural relaxation. The functional is PBE-GGA.

extended XYZ file:
```
5
Lattice="-4.931 1.121 -2.064 1.689 -1.644 -4.927 -1.633 -5.087 1.138" Properties=species:S:1:pos:R:3 pbc="T T T"
Tl 0.844 -0.822 -2.464
Tl -0.816 -2.543 0.569
Tl -2.466 0.560 -1.032
K -2.437 -2.805 -2.927
V 0.000 0.000 0.000
```

**Space-group type**: Pm-3m, No. 221
**E_form**: 0.219 eV per atom
**Offset from the most stable computed form**: 0.0 meV/atom

This record from Alexandria via LeMat-Bulk describes KIn2Ag after structural relaxation. The functional is PBE-GGA.

extended XYZ file:
```
4
Lattice="-2.834 -1.444 1.200 1.690 -3.831 -0.620 3.097 0.152 7.498" Properties=species:S:1:pos:R:3 pbc="T T T"
Ag 1.976 -2.512 6.460
In 2.989 0.147 7.236
In 0.046 -2.607 1.786
K 1.587 0.078 3.843
```

**Space-group type**: Pmm2, No. 25
**E_form**: 0.007 eV per atom

This record from Alexandria via LeMat-Bulk describes GdErTcAg after structural relaxation. The functional is PBE-GGA.

extended XYZ file:
```
4
Lattice="4.970 0.000 0.000 2.485 4.304 0.000 2.485 1.435 4.058" Properties=species:S:1:pos:R:3 pbc="T T T"
Gd 4.970 2.870 2.029
Tc 7.455 4.304 3.044
Ag 2.485 1.435 1.015
Er 0.000 0.000 0.000
```

**Space-group type**: F-43m, No. 216
**E_form**: -0.115 eV per atom

This record from Alexandria via LeMat-Bulk describes SmUGe2 after structural relaxation. The functional is PBE-GGA.

extended XYZ file:
```
4
Lattice="4.180 0.000 0.000 2.090 3.620 0.000 2.090 1.207 6.747" Properties=species:S:1:pos:R:3 pbc="T T T"
Ge 6.270 3.620 4.915
Ge 2.090 1.207 1.832
U 4.180 2.413 3.374
Sm 0.000 0.000 0.000
```

**Space-group type**: R-3m, No. 166
**E_form**: -0.372 eV per atom
**Offset from the most stable computed form**: 0.0 meV/atom

This record from Alexandria via LeMat-Bulk describes CuTcMo2 after structural relaxation. The functional is PBE-GGA.

extended XYZ file:
```
4
Lattice="2.579 0.000 0.000 0.000 4.186 0.000 0.000 0.000 5.509" Properties=species:S:1:pos:R:3 pbc="T T T"
Cu 1.289 2.093 4.124
Mo 0.000 0.000 5.424
Mo 1.289 2.093 1.412
Tc 0.000 0.000 2.813
```

**Space-group type**: Pmm2, No. 25
**E_form**: 0.255 eV per atom
**Offset from the most stable computed form**: 109.9 meV/atom

This record from Alexandria via LeMat-Bulk describes HRuRh2 after structural relaxation. The functional is PBE-GGA.

extended XYZ file:
```
8
Lattice="-2.828 3.354 4.111 -3.006 -4.852 1.891 -1.032 -1.252 4.709" Properties=species:S:1:pos:R:3 pbc="T T T"
Ru 0.000 0.000 0.000
Ru -3.388 0.677 5.910
Rh -2.113 0.835 3.564
Rh -2.778 -2.584 3.292
Rh -3.268 -1.994 5.975
Rh -5.573 -1.755 8.590
H -2.917 -0.749 3.001
H -3.478 -3.426 4.800
```

**Space-group type**: I-42d, No. 122
**Offset from the most stable computed form**: 253.5 meV/atom

This record from Alexandria via LeMat-Bulk describes BaNaCd4In2 after structural relaxation. The functional is PBE-GGA.

extended XYZ file:
```
8
Lattice="5.106 0.000 0.000 2.553 4.422 0.000 2.553 1.474 9.738" Properties=species:S:1:pos:R:3 pbc="T T T"
Ba 0.000 0.000 0.000
Na 5.106 2.948 4.869
Cd 5.106 2.948 7.897
Cd 7.659 4.422 3.871
Cd 2.553 1.474 5.867
Cd 5.106 2.948 1.841
In 7.659 4.422 7.087
In 2.553 1.474 2.651
```

**Space-group type**: R-3m, No. 166
**E_form**: -0.184 eV per atom

This record from Alexandria via LeMat-Bulk describes RbNa2Sr after structural relaxation. The functional is PBE-GGA.

extended XYZ file:
```
4
Lattice="0.898 2.238 6.218 -5.208 2.205 3.535 -2.256 -3.546 5.179" Properties=species:S:1:pos:R:3 pbc="T T T"
Sr -3.283 0.448 7.466
Rb 0.000 0.000 0.000
Na -1.641 0.224 3.733
Na -4.924 0.673 11.199
```

**Space-group type**: Fm-3m, No. 225
**E_form**: 0.086 eV per atom
**Offset from the most stable computed form**: 40.0 meV/atom

This record from Alexandria via LeMat-Bulk describes Co3SiPd after structural relaxation. The functional is PBE-GGA.

extended XYZ file:
```
5
Lattice="-2.968 -3.149 -1.343 -0.846 -1.048 4.326 -3.317 3.085 0.099" Properties=species:S:1:pos:R:3 pbc="T T T"
Si -3.565 -0.556 1.541
Co -0.423 -0.524 2.163
Co -1.659 1.542 0.049
Co -1.484 -1.574 -0.672
Pd 0.000 0.000 0.000
```

**Uncorrected formation energy**: 1.498 eV per atom
**Space-group type**: Pm-3m, No. 221
**Offset from the most stable computed form**: 893.8 meV/atom

This record from Alexandria via LeMat-Bulk describes PmPaMoN3 after structural relaxation. The functional is PBE-GGA.

extended XYZ file:
```
12
Lattice="3.327 0.000 0.000 0.000 7.370 0.902 0.000 -1.900 7.587" Properties=species:S:1:pos:R:3 pbc="T T T"
Pm 2.495 4.684 6.963
Pm 0.832 0.786 1.526
Pa 0.832 4.407 1.864
Pa 2.495 1.063 6.624
Mo 0.832 -0.287 4.499
Mo 2.495 5.758 3.989
N 0.832 4.959 5.124
N 2.495 6.133 1.872
N 2.495 2.854 1.254
N 2.495 0.511 3.365
N 0.832 2.616 7.235
N 0.832 -0.663 6.617
```

**Uncorrected formation energy**: -1.029 eV per atom
**Space-group type**: P2_1/m, No. 11

This record from Alexandria via LeMat-Bulk describes Ac3Pm12Tl after structural relaxation. The functional is PBE-GGA.

extended XYZ file:
```
16
Lattice="5.176 0.000 0.000 0.000 5.176 0.000 0.000 0.000 20.986" Properties=species:S:1:pos:R:3 pbc="T T T"
Ac 0.000 0.000 5.150
Ac 0.000 0.000 10.493
Ac 0.000 0.000 15.836
Pm 2.588 2.588 0.000
Pm 2.588 2.588 5.054
Pm 2.588 2.588 10.493
Pm 2.588 2.588 15.932
Pm 2.588 0.000 2.440
Pm 2.588 0.000 7.812
Pm 2.588 0.000 13.175
Pm 2.588 0.000 18.546
Pm 0.000 2.588 2.440
Pm 0.000 2.588 7.812
Pm 0.000 2.588 13.175
Pm 0.000 2.588 18.546
Tl 0.000 0.000 0.000
```

**Space-group type**: P4/mmm, No. 123
**E_form**: -0.010 eV per atom

This record from Alexandria via LeMat-Bulk describes Nb3InH after structural relaxation. The functional is PBE-GGA.

extended XYZ file:
```
5
Lattice="3.864 0.000 0.000 0.000 3.864 0.000 0.000 0.000 7.446" Properties=species:S:1:pos:R:3 pbc="T T T"
H 1.932 1.932 3.866
Nb 0.000 0.000 5.378
Nb 1.932 0.000 3.373
Nb 0.000 1.932 3.373
In 0.000 0.000 0.866
```

**Space-group type**: P4mm, No. 99
**Calculated total energy**: -6.63 eV per atom

This record from Alexandria via LeMat-Bulk describes Hf2VPt after structural relaxation. The functional is PBE-GGA.

extended XYZ file:
```
8
Lattice="-1.709 -3.370 -1.662 0.624 -2.055 3.525 -8.941 0.026 4.015" Properties=species:S:1:pos:R:3 pbc="T T T"
Hf -3.227 -2.359 0.404
Hf -2.057 -1.697 3.001
Hf -7.113 -2.013 3.707
Hf -7.654 -4.729 4.644
Pt 0.000 0.000 0.000
Pt -5.596 -3.028 1.642
V -0.542 -2.713 0.932
V -4.430 -2.371 4.236
```

**Space-group type**: I-42d, No. 122
**E_form**: 0.221 eV per atom
**Offset from the most stable computed form**: 753.5 meV/atom

This record from Alexandria via LeMat-Bulk describes ThPaZnIn after structural relaxation. The functional is PBE-GGA.

extended XYZ file:
```
4
Lattice="-1.732 4.850 1.128 -5.167 1.044 -0.102 -2.599 0.891 4.500" Properties=species:S:1:pos:R:3 pbc="T T T"
Zn 0.000 0.000 0.000
Pa -2.374 1.696 1.381
Th -7.123 5.089 4.144
In -4.749 3.392 2.763
```

**Space-group type**: F-43m, No. 216
**E_form**: 0.065 eV per atom

This record from Alexandria via LeMat-Bulk describes Y4Ge2O after structural relaxation. The functional is PBE-GGA.

extended XYZ file:
```
14
Lattice="6.504 0.000 -0.089 0.000 6.596 0.000 -2.496 0.000 7.867" Properties=species:S:1:pos:R:3 pbc="T T T"
Y 2.620 3.305 2.016
Y -1.674 4.947 7.172
Y 5.681 1.649 0.605
Y 2.620 6.588 2.016
Y 4.517 1.649 4.842
Y 1.387 0.008 5.762
Y 1.387 3.290 5.762
Y -0.509 4.947 2.936
Ge 4.530 4.947 0.301
Ge -0.523 1.649 7.476
Ge 0.534 1.649 3.379
Ge 3.474 4.947 4.399
O 1.237 4.947 1.501
O 2.770 1.649 6.277
```

**Uncorrected formation energy**: -1.372 eV per atom
**Space-group type**: P2_1/m, No. 11
**Offset from the most stable computed form**: 0.0 meV/atom

This record from Alexandria via LeMat-Bulk describes Cs2HfAlS5 after structural relaxation. The functional is PBE-GGA.

extended XYZ file:
```
18
Lattice="3.729 0.000 0.000 -1.865 10.399 0.000 0.000 0.000 14.722" Properties=species:S:1:pos:R:3 pbc="T T T"
Cs 1.865 7.722 11.888
Cs 0.000 2.634 10.101
Cs 0.000 2.676 4.527
Cs 1.865 7.765 2.741
Hf 1.865 6.060 7.639
Hf 0.000 4.339 0.279
Al 1.865 1.641 13.804
Al 0.000 8.758 6.443
S 0.000 6.722 14.690
S 1.865 3.866 13.185
S 1.865 0.305 12.045
S 0.000 6.132 9.313
S 1.865 8.862 7.794
S 1.865 3.676 7.329
S 0.000 6.533 5.824
S 0.000 10.093 4.684
S 1.865 4.267 1.952
S 0.000 1.536 0.433
```

**Uncorrected formation energy**: -1.220 eV per atom
**Space-group type**: Cmc2_1, No. 36

Let's list theoretical density in order: 15.8, 5.9, 6.6, 6.2, 9.4, 3.5, 13.9, 5.3, 7.9, 7.2, 5.4, 10.1, 8.7, 9.9, 10.9, 6.3, 1.7, 5.6, 8.9, 7.8, 5.9, 12.6, 10.3, 5.1, 3.7 g/cm³.
Let's list density of states at the Fermi level in order: 3.06, 9.00, 0.34, 5.89, 3.26, 1.61, 3.36, 3.67, 3.88, 3.31, 2.92, 2.87, 6.40, 3.16, 3.53, 2.64, 2.99, 6.42, 3.29, 23.26, 5.07, 4.66, 7.03, 3.68, 3.65 states/eV/f.u..